A plane-wave DFT calculation with PBEsol was carried out for Be2OsPb after structural relaxation.

abc: 3.1230 3.1230 5.8577
angles: 90.00 90.00 90.00
With the nearest neighbours (Å) after each atom.
Atoms (fractional coordinates):
1 Pb 0.5000 0.5000 0.7545  6 Be 2.83-2.99, 4 Os 2.94, 4 Pb 3.12
2 Os 0.0000 0.0000 0.4220  1 Be 2.13
3 Be 0.5000 0.5000 0.2656  4 Os 2.39, 4 Be 2.52
4 Be 0.0000 0.0000 0.0579  1 Os 2.13

Summary:
ρ   12.1 g cm⁻³
Space-group type   P4mm
ΔE_f   0.431 eV per atom
Spin magnetization   0.0 Bohr magnetons per cell

=====

A plane-wave DFT calculation with PBEsol was carried out for BeSnOsPd2 after structural relaxation.

abc: 4.1720 4.8151 4.8151
angles: 90.00 90.00 90.00
With the nearest neighbours (Å) after each atom.
Atoms (fractional coordinates):
1 Sn 0.5000 0.5000 0.5000  8 Pd 3.19, 4 Be 3.40
2 Be 0.5000 0.0000 0.0000  2 Os 2.09
3 Pd 0.0000 0.0000 0.5000  2 Os 2.41
4 Pd 0.0000 0.5000 0.0000  2 Os 2.41
5 Os 0.0000 0.0000 0.0000  2 Be 2.09

Summary:
ρ   9.1 g cm⁻³
Space-group type   P4/mmm
ΔE_f   0.978 eV per atom
Spin magnetization   0.0 Bohr magnetons per cell

=====

A plane-wave DFT calculation with PBEsol was carried out for BeOsPt2 after structural relaxation.

abc: 2.6847 4.3249 4.6548
angles: 90.00 90.00 90.00
With the nearest neighbours (Å) after each atom.
Atoms (fractional coordinates):
1 Os 0.3755 0.5000 0.2041  8 Pt 2.64-2.73, 2 Be 2.68, 2 Os 2.68
2 Be 0.3735 0.0000 0.5458  8 Pt 2.63-2.73, 2 Os 2.68, 2 Be 2.68
3 Pt 0.8754 0.5000 0.6932  4 Be 2.63-2.64, 4 Os 2.64-2.73, 4 Pt 2.68-2.75
4 Pt 0.8755 0.0000 0.0569  4 Os 2.64, 4 Be 2.64-2.73, 4 Pt 2.68-2.75

Summary:
ρ   18.1 g cm⁻³
Space-group type   Pm
ΔE_f   -0.058 eV per atom
Spin magnetization   0.0 Bohr magnetons per cell

=====

A plane-wave DFT calculation with PBEsol was carried out for BeOsPt2 after structural relaxation.

abc: 2.6985 3.8888 5.1866
angles: 90.00 101.69 90.00
With the nearest neighbours (Å) after each atom.
Atoms (fractional coordinates):
1 Os 0.5000 0.5000 0.5000  2 Be 2.59, 2 Os 2.70, 8 Pt 2.70-2.72
2 Pt 0.1097 0.0000 0.7613  2 Be 2.43, 4 Pt 2.65-2.70, 2 Os 2.70
3 Be 0.5000 0.5000 0.0000  4 Pt 2.43, 2 Os 2.59, 2 Be 2.70
4 Pt 0.8903 0.0000 0.2387  2 Be 2.43, 4 Pt 2.65-2.70, 2 Os 2.70

Summary:
ρ   18.4 g cm⁻³
Space-group type   P2/m
ΔE_f   -0.031 eV per atom
Spin magnetization   0.0 Bohr magnetons per cell

=====

A plane-wave DFT calculation with PBEsol was carried out for Be2SiOsPt after structural relaxation.

abc: 4.1739 4.1739 4.8069
angles: 90.00 90.00 90.00
With the nearest neighbours (Å) after each atom.
Atoms (fractional coordinates):
1 Pt 0.0000 0.0000 0.5000  2 Os 2.40
2 Be 0.0000 0.5000 0.0000  2 Os 2.09
3 Os 0.0000 0.0000 0.0000  4 Be 2.09
4 Si 0.5000 0.5000 0.5000  4 Pt 2.95, 8 Be 3.18
5 Be 0.5000 0.0000 0.0000  2 Os 2.09

Summary:
ρ   8.6 g cm⁻³
Uncorrected formation energy   1050 meV per atom
Space-group type   P4/mmm
Spin magnetization   0.0 Bohr magnetons per cell

=====

A plane-wave DFT calculation with PBEsol was carried out for BeTcOs2Pt after structural relaxation.

abc: 4.5693 4.5693 4.7211
angles: 90.00 90.00 90.00
With the nearest neighbours (Å) after each atom.
Atoms (fractional coordinates):
1 Os 0.0000 0.5000 0.0000  2 Tc 2.28
2 Os 0.5000 0.0000 0.0000  2 Tc 2.28
3 Pt 0.0000 0.0000 0.5000  2 Tc 2.36
4 Tc 0.0000 0.0000 0.0000  4 Os 2.28, 2 Pt 2.36
5 Be 0.5000 0.5000 0.5000  4 Pt 3.23, 8 Os 3.29

Summary:
ρ   11.5 g cm⁻³
Space-group type   P4/mmm
ΔE_f   2.314 eV per atom
Spin magnetization   0.0 Bohr magnetons per cell